First-principles (GGA-PBE) data for CaTa2Re after structural relaxation, as listed in Alexandria. Values from VASP.

Structure (Quantum ESPRESSO input):
```
&SYSTEM
  ibrav = 0, nat = 4, ntyp = 3
/
ATOMIC_SPECIES
Ca 40.08 Ca.upf
Ta 180.95 Ta.upf
Re 186.21 Re.upf
CELL_PARAMETERS angstrom
1.558 0.899 9.542
-1.558 0.899 9.542
0.000 -1.799 9.542
ATOMIC_POSITIONS angstrom
Ca 0.000 0.000 0.000
Ta 0.000 0.000 14.662
Ta 0.000 0.000 21.960
Re 0.000 0.000 7.049
```

* energy: -9.040 eV/atom
* total magnetization: 0.001 μB per atom
* energy above the lowest structure with this stoichiometry: 142 meV per atom
* calculated formation energy: 192.6 kJ/mol of formula units